Compound: Cs4Nd3TiO8
Source: the Alexandria database
Functional: PBE-GGA
Structure: relaxed

a = 7.159 Å, b = 8.057 Å, c = 7.160 Å
α = 116.37°, β = 120.00°, γ = 90.00°
Atoms (fractional coordinates):
Cs: 0.000 0.000 0.500
Cs: 0.000 0.000 0.000
O: 0.800 0.342 0.601
Ti: 0.000 0.500 0.000
Nd: 0.500 0.500 0.500
Nd: 0.000 0.500 0.500
O: 0.278 0.334 0.556
O: 0.722 0.666 0.444
Cs: 0.500 0.000 0.000
Cs: 0.500 0.000 0.500
O: 0.200 0.658 0.399
O: 0.759 0.658 0.958
O: 0.200 0.658 0.958
O: 0.241 0.342 0.042
O: 0.800 0.342 0.042
Nd: 0.500 0.500 0.000

## Properties
The value obtained for the formation energy without anion corrections is -2.3480 eV per atom.

Compound: Cs3NdTl2O6
Source: the Alexandria database
Functional: PBE-GGA
Structure: relaxed

a = 6.767 Å, b = 6.767 Å, c = 8.004 Å
α = 90.00°, β = 90.00°, γ = 120.00°
Atoms (fractional coordinates):
O: 0.155 0.845 0.306
Tl: 0.333 0.667 0.309
Cs: 0.333 0.667 0.756
Nd: 0.000 0.000 0.500
O: 0.845 0.155 0.694
Tl: 0.667 0.333 0.691
Cs: 0.000 0.000 0.000
O: 0.310 0.155 0.694
O: 0.845 0.690 0.694
Cs: 0.667 0.333 0.244
O: 0.690 0.845 0.306
O: 0.155 0.310 0.306

## Properties
The value obtained for the formation energy without anion corrections is -1.3811 eV per atom.

Compound: Cs2NdTlO4
Source: the Alexandria database
Functional: PBE-GGA
Structure: relaxed

a = 3.644 Å, b = 6.349 Å, c = 7.278 Å
α = 108.01°, β = 90.00°, γ = 90.00°
Atoms (fractional coordinates):
O: 0.500 0.218 0.172
O: 0.000 0.716 0.179
Tl: 0.000 0.000 0.000
Nd: 0.500 0.500 0.000
Cs: 0.500 0.000 0.500
Cs: 0.000 0.500 0.500
O: 0.000 0.284 0.821
O: 0.500 0.782 0.828

## Properties
The value obtained for the formation energy without anion corrections is -1.6743 eV per atom.

Compound: Cs2NdU3O12
Source: the Alexandria database
Functional: PBE-GGA
Structure: relaxed

a = 7.986 Å, b = 7.986 Å, c = 7.986 Å
α = 61.20°, β = 61.20°, γ = 61.20°
Atoms (fractional coordinates):
O: 0.695 0.073 0.695
O: 0.075 0.651 0.075
O: 0.305 0.927 0.305
O: 0.075 0.075 0.651
Nd: 0.000 0.000 0.000
Cs: 0.619 0.619 0.619
O: 0.305 0.305 0.927
O: 0.651 0.075 0.075
O: 0.927 0.305 0.305
U: 0.500 0.000 0.000
O: 0.349 0.925 0.925
O: 0.073 0.695 0.695
U: 0.000 0.500 0.000
O: 0.925 0.349 0.925
U: 0.000 0.000 0.500
O: 0.925 0.925 0.349
Cs: 0.381 0.381 0.381
O: 0.695 0.695 0.073

## Properties
The value obtained for the formation energy without anion corrections is -2.8935 eV per atom.